No. 1
DFT (PBE) results for Sc5CdHg3 after structural relaxation.

Calculated formation energy ... -344 meV per atom
Total magnetic moment ... 0.0 Bohr magnetons per cell

a = 8.6447 Å, b = 8.6447 Å, c = 6.2023 Å
α = 90.00°, β = 90.00°, γ = 120.00°
Space group P6_3/mcm (No. 193)
Asymmetric unit:
Sc 0.0000 0.3062 0.2500 (multiplicity 6)
Sc 0.3333 0.6667 0.0000 (multiplicity 4)
Cd 0.0000 0.0000 0.0000 (multiplicity 2)
Hg 0.0000 0.3653 0.7500 (multiplicity 6)

No. 2
DFT (PBE) results for NdMg5Ag3 after structural relaxation.

Calculated formation energy ... -140 meV per atom
Total magnetic moment ... 0.0 Bohr magnetons per cell

a = 3.3840 Å, b = 15.2071 Å, c = 15.6075 Å
α = 90.00°, β = 90.00°, γ = 90.00°
Space group Cmcm (No. 63)
Asymmetric unit:
Nd 0.0000 0.1602 0.2500 (multiplicity 4)
Mg 0.0000 0.0000 0.0000 (multiplicity 4)
Mg 0.0000 0.1929 0.5720 (multiplicity 8)
Mg 0.0000 0.4642 0.1572 (multiplicity 8)
Ag 0.0000 0.1545 0.7500 (multiplicity 4)
Ag 0.0000 0.3723 0.5703 (multiplicity 8)